--- 1 ---
Density functional theory data (PBE-GGA) for a geometry-optimized TcAs2Pd structure.

Properties
Fermi-level density of states in states/eV per atom: 0.59
Magnetic moment in μB per atom: 0.0000

abc: 5.607 5.607 11.122
angles: 90.00 90.00 90.00
Fractional coordinates of all 16 atoms:
Tc: 0.000 0.000 0.000
Tc: 0.000 0.500 0.250
Tc: 0.500 0.000 0.750
Tc: 0.500 0.500 0.500
As: 0.237 0.250 0.125
As: 0.250 0.737 0.375
As: 0.250 0.763 0.875
As: 0.263 0.250 0.625
As: 0.737 0.750 0.625
As: 0.750 0.237 0.875
As: 0.750 0.263 0.375
As: 0.763 0.750 0.125
Pd: 0.000 0.000 0.500
Pd: 0.000 0.500 0.750
Pd: 0.500 0.000 0.250
Pd: 0.500 0.500 0.000

--- 2 ---
Density functional theory data (PBE-GGA) for a geometry-optimized TcAs2Pd structure.

Properties
Fermi-level density of states in states/eV per atom: 0.45
Magnetic moment in μB per atom: 0.0000

abc: 3.154 3.154 6.296
angles: 90.00 90.00 90.00
Fractional coordinates of all 4 atoms:
Tc: 0.000 0.000 0.000
As: 0.500 0.500 0.234
As: 0.500 0.500 0.766
Pd: 0.000 0.000 0.500

--- 3 ---
Density functional theory data (PBE-GGA) for a geometry-optimized TcAs2Pd structure.

Properties
Fermi-level density of states in states/eV per atom: 1.11
Magnetic moment in μB per atom: 0.0593

abc: 2.975 2.975 26.584
angles: 90.00 90.00 120.00
Fractional coordinates of all 12 atoms:
Tc: 0.000 0.000 0.000
Tc: 0.333 0.667 0.667
Tc: 0.667 0.333 0.333
As: 0.000 0.000 0.091
As: 0.000 0.000 0.909
As: 0.333 0.667 0.576
As: 0.333 0.667 0.757
As: 0.667 0.333 0.243
As: 0.667 0.333 0.424
Pd: 0.000 0.000 0.500
Pd: 0.333 0.667 0.167
Pd: 0.667 0.333 0.833

Quick one: least stable of them? 3

--- 1 ---
Density functional theory data (PBE-GGA) for a geometry-optimized Tc3AsPd structure.

Properties
Fermi-level density of states in states/eV per atom: 1.62
Magnetic moment in μB per atom: 1.3416

abc: 4.762 4.762 4.762
angles: 90.00 90.00 90.00
Fractional coordinates of all 5 atoms:
Tc: 0.000 0.000 0.500
Tc: 0.000 0.500 0.000
Tc: 0.500 0.000 0.000
As: 0.500 0.500 0.500
Pd: 0.000 0.000 0.000

--- 2 ---
Density functional theory data (PBE-GGA) for a geometry-optimized Tc3AsPd structure.

Properties
Fermi-level density of states in states/eV per atom: 1.37
Magnetic moment in μB per atom: 0.0000

abc: 4.504 4.504 4.504
angles: 90.00 90.00 90.00
Fractional coordinates of all 5 atoms:
Tc: 0.000 0.000 0.500
Tc: 0.000 0.500 0.000
Tc: 0.500 0.000 0.000
As: 0.000 0.000 0.000
Pd: 0.500 0.500 0.500

Quick one: least stable of them? 1

--- 1 ---
Density functional theory data (PBE-GGA) for a geometry-optimized Te3AsPd structure.

Properties
Fermi-level density of states in states/eV per atom: 1.45
Magnetic moment in μB per atom: 0.0000

abc: 5.369 5.369 5.369
angles: 90.00 90.00 90.00
Fractional coordinates of all 5 atoms:
Te: 0.000 0.000 0.500
Te: 0.000 0.500 0.000
Te: 0.500 0.000 0.000
As: 0.000 0.000 0.000
Pd: 0.500 0.500 0.500

--- 2 ---
Density functional theory data (PBE-GGA) for a geometry-optimized Te3AsPd structure.

Properties
Fermi-level density of states in states/eV per atom: 1.08
Magnetic moment in μB per atom: 0.0000

abc: 5.235 5.235 5.235
angles: 90.00 90.00 90.00
Fractional coordinates of all 5 atoms:
Te: 0.000 0.000 0.500
Te: 0.000 0.500 0.000
Te: 0.500 0.000 0.000
As: 0.500 0.500 0.500
Pd: 0.000 0.000 0.000

Quick one: least stable of them? 1

--- 1 ---
Density functional theory data (PBE-GGA) for a geometry-optimized TeAsPd2 structure.

Properties
Fermi-level density of states in states/eV per atom: 0.47
Magnetic moment in μB per atom: 0.0000

abc: 4.137 4.137 16.300
angles: 90.00 90.00 120.00
Fractional coordinates of all 12 atoms:
Te: 0.000 0.000 0.000
Te: 0.333 0.667 0.667
Te: 0.667 0.333 0.333
As: 0.000 0.000 0.826
As: 0.333 0.667 0.492
As: 0.667 0.333 0.159
Pd: 0.000 0.000 0.228
Pd: 0.000 0.000 0.428
Pd: 0.333 0.667 0.094
Pd: 0.333 0.667 0.895
Pd: 0.667 0.333 0.562
Pd: 0.667 0.333 0.761

--- 2 ---
Density functional theory data (PBE-GGA) for a geometry-optimized TeAsPd2 structure.

Properties
Fermi-level density of states in states/eV per atom: 0.66
Magnetic moment in μB per atom: 0.0000

abc: 4.170 4.170 5.816
angles: 90.00 90.00 120.00
Fractional coordinates of all 4 atoms:
Te: 0.000 0.000 0.000
As: 0.667 0.333 0.462
Pd: 0.000 0.000 0.546
Pd: 0.333 0.667 0.230

Quick one: least stable of them? 1